Compound: Dy3InS6
Source: the Alexandria database
Functional: PBEsol
Structure: relaxed

a b c (Å): 13.2682 16.3061 3.7954
angles (deg): 90.00 90.00 90.00
Closest atoms and distances in Å follow each position.
Fractional positions:
Dy 0.0400 0.2246 0.0000  8 S 2.74-2.86
Dy 0.1889 0.6461 0.0000  7 S 2.68-2.88
Dy 0.2503 0.3933 0.0000  8 S 2.74-3.03
Dy 0.2497 0.8933 0.5000  8 S 2.74-3.03
Dy 0.3111 0.1461 0.5000  7 S 2.68-2.88
Dy 0.4600 0.7246 0.5000  8 S 2.74-2.86
Dy 0.5400 0.2754 0.5000  8 S 2.74-2.86
Dy 0.6889 0.8539 0.5000  7 S 2.68-2.88
Dy 0.7503 0.1067 0.5000  8 S 2.74-3.03
Dy 0.7497 0.6067 0.0000  8 S 2.74-3.03
Dy 0.8111 0.3539 0.0000  7 S 2.68-2.88
Dy 0.9600 0.7754 0.0000  8 S 2.74-2.86
In 0.0000 0.0000 0.5000  6 S 2.44-2.70
In 0.0000 0.5000 0.5000  6 S 2.58-2.60
In 0.5000 0.0000 0.0000  6 S 2.58-2.60
In 0.5000 0.5000 0.0000  6 S 2.44-2.70
S 0.0220 0.3944 0.0000  2 In 2.58, 2 Dy 2.78-2.88
S 0.0963 0.9116 0.0000  2 In 2.70, 3 Dy 2.80-2.86
S 0.1121 0.1184 0.5000  1 In 2.44, 1 Dy 2.68
S 0.1127 0.7471 0.5000  5 Dy 2.71-3.00
S 0.1816 0.2862 0.5000  5 Dy 2.74-2.86, 1 S 2.89
S 0.1944 0.5205 0.5000  1 In 2.60, 4 Dy 2.79-2.91
S 0.3056 0.0205 0.0000  1 In 2.60, 4 Dy 2.79-2.91
S 0.3184 0.7862 0.0000  5 Dy 2.74-2.86, 1 S 2.89
S 0.3873 0.2471 0.0000  5 Dy 2.71-3.00
S 0.3879 0.6184 0.0000  1 In 2.44, 1 Dy 2.68
S 0.4037 0.4116 0.5000  2 In 2.70, 3 Dy 2.80-2.86
S 0.4780 0.8944 0.5000  2 In 2.58, 2 Dy 2.78-2.88
S 0.5220 0.1056 0.5000  2 In 2.58, 2 Dy 2.78-2.88
S 0.5963 0.5884 0.5000  2 In 2.70, 3 Dy 2.80-2.86
S 0.6121 0.3816 0.0000  1 In 2.44, 1 Dy 2.68
S 0.6127 0.7529 0.0000  5 Dy 2.71-3.00
S 0.6816 0.2138 0.0000  5 Dy 2.74-2.86, 1 S 2.89
S 0.6944 0.9795 0.0000  1 In 2.60, 4 Dy 2.79-2.91
S 0.8056 0.4795 0.5000  1 In 2.60, 4 Dy 2.79-2.91
S 0.8184 0.7138 0.5000  5 Dy 2.74-2.86, 1 S 2.89
S 0.8873 0.2529 0.5000  5 Dy 2.71-3.00
S 0.8879 0.8816 0.5000  1 In 2.44, 1 Dy 2.68
S 0.9037 0.0884 0.0000  2 In 2.70, 3 Dy 2.80-2.86
S 0.9780 0.6056 0.0000  2 In 2.58, 2 Dy 2.78-2.88

Values from the calculation:
Volume ... 205.3 Å³/f.u.
SG ... Pnnm (58)
VASP energy ... -247.3 eV/cell
Magnetic moment ... 0.000 μB/f.u.



Compound: KBeSi2
Source: the Alexandria database
Functional: PBEsol
Structure: relaxed

a b c (Å): 8.3149 8.3149 8.3149
angles (deg): 145.58 145.58 49.47
Closest atoms and distances in Å follow each position.
Fractional positions:
K 0.3750 0.6250 0.7500  8 Si 3.34, 4 Be 3.48
K 0.6250 0.3750 0.2500  8 Si 3.34, 4 Be 3.48
Be 0.1250 0.8750 0.2500  4 Si 2.25
Be 0.8750 0.1250 0.7500  4 Si 2.25
Si 0.0000 0.0000 0.0000  2 Be 2.25, 2 Si 2.46
Si 0.0000 0.0000 0.5000  2 Be 2.25, 2 Si 2.46
Si 0.0000 0.5000 0.0000  2 Be 2.25, 2 Si 2.46
Si 0.5000 0.0000 0.5000  2 Be 2.25, 2 Si 2.46

Values from the calculation:
Volume ... 91.4 Å³/f.u.
SG ... I4_1/amd (141)
VASP energy ... -30.3 eV/cell
Magnetic moment ... 0.000 μB/f.u.



Compound: KTeP4
Source: the Alexandria database
Functional: PBEsol
Structure: relaxed

a b c (Å): 5.9696 5.9696 5.9696
angles (deg): 60.00 60.00 60.00
Closest atoms and distances in Å follow each position.
Fractional positions:
K 0.0000 0.0000 0.0000  12 P 3.61, 4 Te 3.66
Te 0.7500 0.7500 0.7500  12 P 3.45, 4 K 3.66
P 0.4070 0.4070 0.4070  3 P 2.22
P 0.4070 0.4070 0.7790  3 P 2.22
P 0.4070 0.7790 0.4070  3 P 2.22
P 0.7790 0.4070 0.4070  3 P 2.22

Values from the calculation:
Volume ... 150.4 Å³/f.u.
SG ... F-43m (216)
VASP energy ... -27.6 eV/cell
Magnetic moment ... 0.007 μB/f.u.



Compound: Li4AsPb
Source: the Alexandria database
Functional: PBEsol
Structure: relaxed

a b c (Å): 5.3159 5.3159 5.3159
angles (deg): 60.00 60.00 60.00
Closest atoms and distances in Å follow each position.
Fractional positions:
Li 0.1251 0.1251 0.1251  6 Li 2.65-2.66
Li 0.1251 0.1251 0.6246  6 Li 2.65-2.66
Li 0.1251 0.6246 0.1251  6 Li 2.65-2.66
Li 0.6246 0.1251 0.1251  6 Li 2.65-2.66
As 0.5000 0.5000 0.5000  12 Li 3.12, 4 Pb 3.26
Pb 0.7500 0.7500 0.7500  12 Li 3.12, 4 As 3.26

Values from the calculation:
Volume ... 106.2 Å³/f.u.
Energy of formation from the pure elements ... -0.12 eV per atom
SG ... F-43m (216)
VASP energy ... -17.7 eV/cell
Magnetic moment ... 0.004 μB/f.u.



Compound: KNaV6Pb8O24
Source: the Alexandria database
Functional: PBEsol
Structure: relaxed

a b c (Å): 10.0087 10.0087 7.3666
angles (deg): 90.00 90.00 120.00
Closest atoms and distances in Å follow each position.
Fractional positions:
K 0.0000 0.0000 0.0000  9 O 2.71-2.93
Na 0.3333 0.6667 0.4801  6 O 2.50-2.61
V 0.0442 0.3211 0.2367  4 O 1.69-1.74
V 0.0602 0.7072 0.7202  4 O 1.70-1.73
V 0.2769 0.9558 0.2367  4 O 1.69-1.74
V 0.2928 0.3530 0.7202  4 O 1.70-1.73
V 0.6470 0.9398 0.7202  4 O 1.70-1.73
V 0.6789 0.7231 0.2367  4 O 1.69-1.74
Pb 0.0000 0.0000 0.5026  3 O 2.38
Pb 0.3333 0.6667 0.0032  3 O 2.41
Pb 0.4135 0.0809 0.7254  3 O 2.25-2.51
Pb 0.4173 0.3355 0.2332  2 O 2.23-2.45
Pb 0.6645 0.0818 0.2332  2 O 2.23-2.45
Pb 0.6674 0.5865 0.7254  3 O 2.25-2.51
Pb 0.9182 0.5827 0.2332  2 O 2.23-2.45
Pb 0.9191 0.3326 0.7254  3 O 2.25-2.51
O 0.0249 0.6019 0.9143  1 V 1.70
O 0.0783 0.8369 0.2545  1 V 1.74
O 0.1452 0.5200 0.2326  1 V 1.72
O 0.1631 0.2414 0.2545  1 V 1.74
O 0.1759 0.4338 0.6969  1 V 1.73
O 0.1910 0.1546 0.7207  1 V 1.72
O 0.2579 0.8241 0.6969  1 V 1.73
O 0.3186 0.0670 0.0483  1 V 1.69
O 0.3389 0.0860 0.4115  1 V 1.71
O 0.3748 0.8548 0.2326  1 V 1.72
O 0.3981 0.4230 0.9143  1 V 1.70
O 0.4272 0.4136 0.5499  1 V 1.71
O 0.4800 0.6252 0.2326  1 V 1.72
O 0.5662 0.7421 0.6969  1 V 1.73
O 0.5770 0.9751 0.9143  1 V 1.70
O 0.5864 0.0137 0.5499  1 V 1.71
O 0.7471 0.6611 0.4115  1 V 1.71
O 0.7484 0.6814 0.0483  1 V 1.69
O 0.7586 0.9217 0.2545  1 V 1.74
O 0.8454 0.0364 0.7207  1 V 1.72
O 0.9140 0.2529 0.4115  1 V 1.71
O 0.9330 0.2516 0.0483  1 V 1.69
O 0.9636 0.8090 0.7207  1 V 1.72
O 0.9863 0.5728 0.5499  1 V 1.71

Values from the calculation:
Volume ... 639.1 Å³/f.u.
SG ... P3 (143)
VASP energy ... -296.2 eV/cell
Magnetic moment ... 0.000 μB/f.u.



Compound: Mg3IrOs
Source: the Alexandria database
Functional: PBEsol
Structure: relaxed

a b c (Å): 4.7623 4.7623 4.7623
angles (deg): 90.00 90.00 90.00
Closest atoms and distances in Å follow each position.
Fractional positions:
Mg 0.0000 0.0000 0.5000  2 Os 2.38
Mg 0.0000 0.5000 0.0000  2 Os 2.38
Mg 0.5000 0.0000 0.0000  2 Os 2.38
Ir 0.5000 0.5000 0.5000  12 Mg 3.37
Os 0.0000 0.0000 0.0000  6 Mg 2.38

Values from the calculation:
Volume ... 108.0 Å³/f.u.
Energy of formation from the pure elements ... 1.39 eV per atom
SG ... Pm-3m (221)
VASP energy ... -20.3 eV/cell
Magnetic moment ... 1.052 μB/f.u.



Compound: CaRu2Au
Source: the Alexandria database
Functional: PBEsol
Structure: relaxed

a b c (Å): 4.9132 4.9132 4.9132
angles (deg): 133.99 127.15 72.63
Closest atoms and distances in Å follow each position.
Fractional positions:
Ca 0.0000 0.0000 0.0000  8 Ru 2.83-2.92, 4 Au 2.85-2.86
Ru 0.2630 0.7630 0.5000  2 Ru 2.53, 2 Ca 2.83
Ru 0.4710 0.4710 0.0000  2 Ru 2.53, 2 Au 2.83
Au 0.7331 0.2331 0.5000  8 Ru 2.83-2.92, 4 Ca 2.85-2.86

Values from the calculation:
Excess energy over the best structure of this formula in the dataset ... 0.218 eV/atom
Volume ... 66.5 Å³/f.u.
Energy of formation from the pure elements ... 0.34 eV per atom
SG ... Imm2 (44)
VASP energy ... -25.0 eV/cell
Magnetic moment ... 0.001 μB/f.u.



Compound: TaIr2Br
Source: the Alexandria database
Functional: PBEsol
Structure: relaxed

a b c (Å): 2.8664 2.8664 8.3111
angles (deg): 90.00 90.00 90.00
Closest atoms and distances in Å follow each position.
Fractional positions:
Ta 0.0000 0.0000 0.0000  4 Br 2.69, 4 Ir 2.78, 4 Ta 2.87
Ir 0.0000 0.0000 0.5553  8 Ir 2.71-2.87
Ir 0.5000 0.5000 0.7717  8 Ir 2.71-2.87, 4 Ta 2.78
Br 0.5000 0.5000 0.2122  4 Ta 2.69, 4 Br 2.87

Values from the calculation:
Excess energy over the best structure of this formula in the dataset ... 0.102 eV/atom
Volume ... 68.3 Å³/f.u.
SG ... P4mm (99)
VASP energy ... -32.7 eV/cell
Magnetic moment ... 0.005 μB/f.u.



- Among the records above, which one has the lowest VASP energy?
  KNaV6Pb8O24